HfAlCo after structural relaxation, computed with PBE. Values from VASP.

Its energy is -7.31 eV/atom. The space group is No. 187. The density of states at the Fermi level is 0.82 states/eV per atom. The formation energy is -377 meV per atom.

Quantum ESPRESSO input file:
```
&SYSTEM
  ibrav = 0, nat = 3, ntyp = 3
/
ATOMIC_SPECIES
Co 58.93 Co.upf
Hf 178.49 Hf.upf
Al 26.98 Al.upf
ATOMIC_POSITIONS crystal
Co 0.167 0.333 0.667
Hf 0.667 0.667 0.333
Al 0.167 0.000 0.000
CELL_PARAMETERS angstrom
3.049 0.000 0.000
0.000 4.225 0.000
0.000 -2.113 3.659
```

---

HfAlCo after structural relaxation, computed with PBE. Values from VASP.

Its energy is -7.43 eV/atom. The space group is No. 38. The density of states at the Fermi level is 0.80 states/eV per atom. The formation energy is -494 meV per atom.

Quantum ESPRESSO input file:
```
&SYSTEM
  ibrav = 0, nat = 12, ntyp = 3
/
ATOMIC_SPECIES
Hf 178.49 Hf.upf
Al 26.98 Al.upf
Co 58.93 Co.upf
ATOMIC_POSITIONS crystal
Hf 0.334 0.666 0.212
Hf 0.670 0.330 0.324
Hf 0.670 0.330 0.676
Hf 0.334 0.666 0.788
Al 0.994 0.006 0.264
Al 0.994 0.006 0.736
Al 0.833 0.655 0.000
Al 0.345 0.167 0.000
Co 0.832 0.168 0.000
Co 0.171 0.345 0.500
Co 0.655 0.829 0.500
Co 0.168 0.832 0.500
CELL_PARAMETERS angstrom
5.085 0.001 0.000
-2.476 4.441 0.000
0.000 0.000 8.080
```

---

HfAlCo2 after structural relaxation, computed with PBE. Values from VASP.

Its energy is -6.88 eV/atom. The space group is No. 122. The density of states at the Fermi level is 0.84 states/eV per atom. The formation energy is 100 meV per atom.

Quantum ESPRESSO input file:
```
&SYSTEM
  ibrav = 0, nat = 8, ntyp = 3
/
ATOMIC_SPECIES
Co 58.93 Co.upf
Hf 178.49 Hf.upf
Al 26.98 Al.upf
ATOMIC_POSITIONS crystal
Co 0.605 0.125 0.250
Co 0.145 0.625 0.250
Co 0.375 0.395 0.750
Co 0.875 0.855 0.750
Hf 0.000 0.000 0.000
Hf 0.750 0.250 0.500
Al 0.500 0.500 0.000
Al 0.250 0.750 0.500
CELL_PARAMETERS angstrom
-1.927 -1.270 6.131
6.127 -1.704 1.573
2.650 1.153 4.572
```

---

- Which formula does entry 2 have?
  HfAlCo

---

- The lowest energy belongs to which entry?
  number 2